Entry P
InCo15: optimized geometry, PBE.

CIF file:
```
data_InCo15
_cell_length_a 3.5104
_cell_length_b 3.5114
_cell_length_c 41.2226
_cell_angle_alpha 90.03
_cell_angle_beta 90.03
_cell_angle_gamma 90.01
_symmetry_space_group_name_H-M 'P 1'
_symmetry_Int_Tables_number 1
loop_
_symmetry_equiv_pos_as_xyz
'x,y,z'
loop_
_atom_site_label
_atom_site_type_symbol
_atom_site_fract_x
_atom_site_fract_y
_atom_site_fract_z
In1 In 0.0000 0.2503 0.1660
In2 In 0.0000 0.7497 0.8340
Co1 Co 0.0000 0.2499 0.2666
Co2 Co 0.0000 0.2502 0.3518
Co3 Co 0.0000 0.2500 0.4366
Co4 Co 0.0000 0.2500 0.5212
Co5 Co 0.0000 0.2499 0.6058
Co6 Co 0.0000 0.2500 0.6906
Co7 Co 0.0000 0.2500 0.7751
Co8 Co 0.0000 0.7500 0.2249
Co9 Co 0.0000 0.7500 0.3094
Co10 Co 0.0000 0.7501 0.3942
Co11 Co 0.0000 0.7500 0.4788
Co12 Co 0.0000 0.7500 0.5634
Co13 Co 0.0000 0.7498 0.6482
Co14 Co 0.0000 0.7501 0.7334
Co15 Co 0.5000 0.2500 0.2248
Co16 Co 0.4999 0.2499 0.3094
Co17 Co 0.5000 0.2501 0.3942
Co18 Co 0.5000 0.2500 0.4788
Co19 Co 0.5001 0.2500 0.5635
Co20 Co 0.4999 0.2501 0.6481
Co21 Co 0.4999 0.2499 0.7326
Co22 Co 0.5001 0.2498 0.8154
Co23 Co 0.4999 0.7502 0.1846
Co24 Co 0.5001 0.7501 0.2674
Co25 Co 0.5001 0.7499 0.3519
Co26 Co 0.4999 0.7500 0.4365
Co27 Co 0.5000 0.7500 0.5212
Co28 Co 0.5000 0.7499 0.6058
Co29 Co 0.5001 0.7501 0.6906
Co30 Co 0.5000 0.7500 0.7752
```

Computed properties:
Size of the total moment ... 47.14 μB per cell

Entry Q
InCo15: optimized geometry, PBE.

CIF file:
```
data_InCo15
_cell_length_a 4.9770
_cell_length_b 2.5276
_cell_length_c 40.6466
_cell_angle_alpha 90.00
_cell_angle_beta 90.01
_cell_angle_gamma 90.00
_symmetry_space_group_name_H-M 'P 1'
_symmetry_Int_Tables_number 1
loop_
_symmetry_equiv_pos_as_xyz
'x,y,z'
loop_
_atom_site_label
_atom_site_type_symbol
_atom_site_fract_x
_atom_site_fract_y
_atom_site_fract_z
In1 In 0.0000 0.0000 0.0000
In2 In 0.2500 0.5000 0.6719
Co1 Co 0.0000 0.0000 0.1034
Co2 Co 0.0000 0.0000 0.1876
Co3 Co 0.9999 0.0000 0.2728
Co4 Co 0.0000 0.0000 0.3575
Co5 Co 0.9999 0.0000 0.4425
Co6 Co 0.0009 0.0000 0.5275
Co7 Co 0.0011 0.0000 0.6127
Co8 Co 0.2451 0.5000 0.0600
Co9 Co 0.2497 0.5000 0.2303
Co10 Co 0.2501 0.5000 0.3152
Co11 Co 0.2500 0.5000 0.4000
Co12 Co 0.2500 0.5000 0.4850
Co13 Co 0.2500 0.5000 0.5698
Co14 Co 0.2509 0.5000 0.1452
Co15 Co 0.4992 0.0000 0.5275
Co16 Co 0.4991 0.0000 0.6127
Co17 Co 0.5000 0.0000 0.0204
Co18 Co 0.5000 0.0000 0.1015
Co19 Co 0.5000 0.0000 0.1880
Co20 Co 0.5001 0.0000 0.2726
Co21 Co 0.5000 0.0000 0.3576
Co22 Co 0.5001 0.0000 0.4425
Co23 Co 0.7491 0.5000 0.1452
Co24 Co 0.7503 0.5000 0.2302
Co25 Co 0.7499 0.5000 0.3152
Co26 Co 0.7500 0.5000 0.4001
Co27 Co 0.7500 0.5000 0.4849
Co28 Co 0.7500 0.5000 0.5709
Co29 Co 0.7500 0.5000 0.6529
Co30 Co 0.7548 0.5000 0.0600
```

Computed properties:
Size of the total moment ... 48.31 μB per cell

Entry R
InCo15: optimized geometry, PBE.

CIF file:
```
data_InCo15
_cell_length_a 6.8653
_cell_length_b 2.5309
_cell_length_c 28.6321
_cell_angle_alpha 90.00
_cell_angle_beta 90.02
_cell_angle_gamma 90.00
_symmetry_space_group_name_H-M 'P 1'
_symmetry_Int_Tables_number 1
loop_
_symmetry_equiv_pos_as_xyz
'x,y,z'
loop_
_atom_site_label
_atom_site_type_symbol
_atom_site_fract_x
_atom_site_fract_y
_atom_site_fract_z
In1 In 0.1253 0.2500 0.3432
In2 In 0.8747 0.7500 0.6568
Co1 Co 0.1225 0.2500 0.8051
Co2 Co 0.1250 0.2500 0.0648
Co3 Co 0.1252 0.2500 0.1520
Co4 Co 0.1252 0.2500 0.2388
Co5 Co 0.1249 0.2500 0.8918
Co6 Co 0.1249 0.2500 0.9784
Co7 Co 0.1303 0.2500 0.7190
Co8 Co 0.3729 0.7500 0.1950
Co9 Co 0.3750 0.7500 0.0217
Co10 Co 0.3751 0.7500 0.1081
Co11 Co 0.3747 0.7500 0.6781
Co12 Co 0.3748 0.7500 0.7615
Co13 Co 0.3749 0.7500 0.8487
Co14 Co 0.3749 0.7500 0.9349
Co15 Co 0.3807 0.7500 0.2809
Co16 Co 0.6193 0.2500 0.7191
Co17 Co 0.6251 0.2500 0.0651
Co18 Co 0.6251 0.2500 0.1513
Co19 Co 0.6252 0.2500 0.2385
Co20 Co 0.6253 0.2500 0.3219
Co21 Co 0.6249 0.2500 0.8919
Co22 Co 0.6250 0.2500 0.9783
Co23 Co 0.6271 0.2500 0.8050
Co24 Co 0.8697 0.7500 0.2810
Co25 Co 0.8751 0.7500 0.0216
Co26 Co 0.8751 0.7500 0.1082
Co27 Co 0.8748 0.7500 0.7612
Co28 Co 0.8748 0.7500 0.8480
Co29 Co 0.8750 0.7500 0.9352
Co30 Co 0.8775 0.7500 0.1949
```

Computed properties:
Size of the total moment ... 48.82 μB per cell

Which is the most stable structure? entry P is the most stable.

Entry P
InCo7: optimized geometry, PBE.

CIF file:
```
data_InCo7
_cell_length_a 2.5804
_cell_length_b 3.4066
_cell_length_c 32.5334
_cell_angle_alpha 90.00
_cell_angle_beta 90.00
_cell_angle_gamma 90.00
_symmetry_space_group_name_H-M 'P 1'
_symmetry_Int_Tables_number 1
loop_
_symmetry_equiv_pos_as_xyz
'x,y,z'
loop_
_atom_site_label
_atom_site_type_symbol
_atom_site_fract_x
_atom_site_fract_y
_atom_site_fract_z
In1 In 0.2500 0.2500 0.1971
In2 In 0.7500 0.7500 0.8029
Co1 Co 0.2500 0.2500 0.2887
Co2 Co 0.2500 0.2500 0.3656
Co3 Co 0.2500 0.2500 0.4425
Co4 Co 0.2500 0.2500 0.5190
Co5 Co 0.2500 0.2500 0.5957
Co6 Co 0.2500 0.2500 0.6722
Co7 Co 0.2500 0.2500 0.7472
Co8 Co 0.7500 0.7500 0.2528
Co9 Co 0.7500 0.7500 0.3278
Co10 Co 0.7500 0.7500 0.4043
Co11 Co 0.7500 0.7500 0.4810
Co12 Co 0.7500 0.7500 0.5575
Co13 Co 0.7500 0.7500 0.6344
Co14 Co 0.7500 0.7500 0.7113
```

Computed properties:
Size of the total moment ... 16.04 μB per cell

Entry Q
InCo7: optimized geometry, PBE.

CIF file:
```
data_InCo7
_cell_length_a 2.6594
_cell_length_b 2.6594
_cell_length_c 37.3480
_cell_angle_alpha 90.00
_cell_angle_beta 90.00
_cell_angle_gamma 90.00
_symmetry_space_group_name_H-M 'P 1'
_symmetry_Int_Tables_number 1
loop_
_symmetry_equiv_pos_as_xyz
'x,y,z'
loop_
_atom_site_label
_atom_site_type_symbol
_atom_site_fract_x
_atom_site_fract_y
_atom_site_fract_z
In1 In 0.2500 0.2500 0.1712
In2 In 0.7500 0.7500 0.8288
Co1 Co 0.2500 0.2500 0.2680
Co2 Co 0.2500 0.2500 0.3526
Co3 Co 0.2500 0.2500 0.4368
Co4 Co 0.2500 0.2500 0.5210
Co5 Co 0.2500 0.2500 0.6052
Co6 Co 0.2500 0.2500 0.6890
Co7 Co 0.2500 0.2500 0.7724
Co8 Co 0.7500 0.7500 0.2276
Co9 Co 0.7500 0.7500 0.3110
Co10 Co 0.7500 0.7500 0.3948
Co11 Co 0.7500 0.7500 0.4790
Co12 Co 0.7500 0.7500 0.5632
Co13 Co 0.7500 0.7500 0.6474
Co14 Co 0.7500 0.7500 0.7320
```

Computed properties:
Size of the total moment ... 16.72 μB per cell

Which is the most stable structure? entry P is the most stable.

Entry P
LuInCoIr: optimized geometry, PBE.

CIF file:
```
data_LuInCoIr
_cell_length_a 6.5623
_cell_length_b 6.5623
_cell_length_c 6.5623
_cell_angle_alpha 90.00
_cell_angle_beta 90.00
_cell_angle_gamma 90.00
_symmetry_space_group_name_H-M 'P 1'
_symmetry_Int_Tables_number 1
loop_
_symmetry_equiv_pos_as_xyz
'x,y,z'
loop_
_atom_site_label
_atom_site_type_symbol
_atom_site_fract_x
_atom_site_fract_y
_atom_site_fract_z
Lu1 Lu 0.0000 0.0000 0.0000
Lu2 Lu 0.0000 0.5000 0.5000
Lu3 Lu 0.5000 0.0000 0.5000
Lu4 Lu 0.5000 0.5000 0.0000
In1 In 0.2500 0.2500 0.2500
In2 In 0.2500 0.7500 0.7500
In3 In 0.7500 0.2500 0.7500
In4 In 0.7500 0.7500 0.2500
Co1 Co 0.0000 0.0000 0.5000
Co2 Co 0.0000 0.5000 0.0000
Co3 Co 0.5000 0.0000 0.0000
Co4 Co 0.5000 0.5000 0.5000
Ir1 Ir 0.2500 0.2500 0.7500
Ir2 Ir 0.2500 0.7500 0.2500
Ir3 Ir 0.7500 0.2500 0.2500
Ir4 Ir 0.7500 0.7500 0.7500
```

Computed properties:
Size of the total moment ... 7.44 μB per cell

Entry Q
LuInCoIr: optimized geometry, PBE.

CIF file:
```
data_LuInCoIr
_cell_length_a 6.4996
_cell_length_b 6.4996
_cell_length_c 6.4996
_cell_angle_alpha 90.00
_cell_angle_beta 90.00
_cell_angle_gamma 90.00
_symmetry_space_group_name_H-M 'P 1'
_symmetry_Int_Tables_number 1
loop_
_symmetry_equiv_pos_as_xyz
'x,y,z'
loop_
_atom_site_label
_atom_site_type_symbol
_atom_site_fract_x
_atom_site_fract_y
_atom_site_fract_z
Lu1 Lu 0.0000 0.0000 0.0000
Lu2 Lu 0.0000 0.5000 0.5000
Lu3 Lu 0.5000 0.0000 0.5000
Lu4 Lu 0.5000 0.5000 0.0000
In1 In 0.0000 0.0000 0.5000
In2 In 0.0000 0.5000 0.0000
In3 In 0.5000 0.0000 0.0000
In4 In 0.5000 0.5000 0.5000
Co1 Co 0.2500 0.2500 0.7500
Co2 Co 0.2500 0.7500 0.2500
Co3 Co 0.7500 0.2500 0.2500
Co4 Co 0.7500 0.7500 0.7500
Ir1 Ir 0.2500 0.2500 0.2500
Ir2 Ir 0.2500 0.7500 0.7500
Ir3 Ir 0.7500 0.2500 0.7500
Ir4 Ir 0.7500 0.7500 0.2500
```

Computed properties:
Size of the total moment ... 0.24 μB per cell

Which is the most stable structure? entry Q is the most stable.

Entry P
ZrInCoIr: optimized geometry, PBE.

CIF file:
```
data_ZrInCoIr
_cell_length_a 6.4459
_cell_length_b 6.4459
_cell_length_c 6.4459
_cell_angle_alpha 90.00
_cell_angle_beta 90.00
_cell_angle_gamma 90.00
_symmetry_space_group_name_H-M 'P 1'
_symmetry_Int_Tables_number 1
loop_
_symmetry_equiv_pos_as_xyz
'x,y,z'
loop_
_atom_site_label
_atom_site_type_symbol
_atom_site_fract_x
_atom_site_fract_y
_atom_site_fract_z
Zr1 Zr 0.0000 0.0000 0.0000
Zr2 Zr 0.0000 0.5000 0.5000
Zr3 Zr 0.5000 0.0000 0.5000
Zr4 Zr 0.5000 0.5000 0.0000
In1 In 0.0000 0.0000 0.5000
In2 In 0.0000 0.5000 0.0000
In3 In 0.5000 0.0000 0.0000
In4 In 0.5000 0.5000 0.5000
Co1 Co 0.2500 0.2500 0.7500
Co2 Co 0.2500 0.7500 0.2500
Co3 Co 0.7500 0.2500 0.2500
Co4 Co 0.7500 0.7500 0.7500
Ir1 Ir 0.2500 0.2500 0.2500
Ir2 Ir 0.2500 0.7500 0.7500
Ir3 Ir 0.7500 0.2500 0.7500
Ir4 Ir 0.7500 0.7500 0.2500
```

Computed properties:
Size of the total moment ... 4.02 μB per cell

Entry Q
ZrInCoIr: optimized geometry, PBE.

CIF file:
```
data_ZrInCoIr
_cell_length_a 6.4576
_cell_length_b 6.4576
_cell_length_c 6.4576
_cell_angle_alpha 90.00
_cell_angle_beta 90.00
_cell_angle_gamma 90.00
_symmetry_space_group_name_H-M 'P 1'
_symmetry_Int_Tables_number 1
loop_
_symmetry_equiv_pos_as_xyz
'x,y,z'
loop_
_atom_site_label
_atom_site_type_symbol
_atom_site_fract_x
_atom_site_fract_y
_atom_site_fract_z
Zr1 Zr 0.0000 0.0000 0.0000
Zr2 Zr 0.0000 0.5000 0.5000
Zr3 Zr 0.5000 0.0000 0.5000
Zr4 Zr 0.5000 0.5000 0.0000
In1 In 0.2500 0.2500 0.2500
In2 In 0.2500 0.7500 0.7500
In3 In 0.7500 0.2500 0.7500
In4 In 0.7500 0.7500 0.2500
Co1 Co 0.0000 0.0000 0.5000
Co2 Co 0.0000 0.5000 0.0000
Co3 Co 0.5000 0.0000 0.0000
Co4 Co 0.5000 0.5000 0.5000
Ir1 Ir 0.2500 0.2500 0.7500
Ir2 Ir 0.2500 0.7500 0.2500
Ir3 Ir 0.7500 0.2500 0.2500
Ir4 Ir 0.7500 0.7500 0.7500
```

Computed properties:
Size of the total moment ... 7.07 μB per cell

Which is the most stable structure? entry P is the most stable.